TbBr3: single point on PBEsol structure, SCAN.

The space group is P6_3/mmc (No. 194) and the conventional cell measures 10.0023, 10.0023 and 3.7098 Å, with angles of 90.00, 90.00 and 120.00 degrees. Symmetry generates all atoms from Tb at (0.3333, 0.6667, 0.2500) and Br at (0.2121, 0.4243, 0.7500).

Its uncorrected formation energy is -1.9934 eV per atom. For the magnetic moment, the calculation gives 0.0 μB per formula unit.

---

ScMo2Rh: single point on PBEsol structure, SCAN.

The space group is R3m (No. 160, hexagonal axes) and the conventional cell measures 3.0129, 3.0129 and 24.9424 Å, with angles of 90.00, 90.00 and 120.00 degrees. Symmetry generates all atoms from Sc at (0.0000, 0.0000, 0.0000), Mo at (0.0000, 0.0000, 0.4998), Mo at (0.0000, 0.0000, 0.7588) and Rh at (0.0000, 0.0000, 0.2480).

For the magnetic moment, the calculation gives 0.0 μB per formula unit.

---

CdRh2Pb: single point on PBEsol structure, SCAN.

The space group is P4mm (No. 99) and the conventional cell measures 3.069, 3.069 and 7.860 Å, with angles of 90.00, 90.00 and 90.00 degrees. Symmetry generates all atoms from Cd at (0.000, 0.000, 0.000), Rh at (0.000, 0.000, 0.589), Rh at (0.500, 0.500, 0.779) and Pb at (0.500, 0.500, 0.346).

For the magnetic moment, the calculation gives 1.6 μB per formula unit.

---

RbYAl3: single point on PBEsol structure, SCAN.

The space group is Pm-3m (No. 221) and the conventional cell measures 5.279, 5.279 and 5.279 Å, with angles of 90.00, 90.00 and 90.00 degrees. Symmetry generates all atoms from Rb at (0.000, 0.000, 0.000), Y at (0.500, 0.500, 0.500) and Al at (0.000, 0.000, 0.500).

As for the distance to the lowest polymorph of the same formula: 3.63 eV per formula unit. For the magnetic moment, the calculation gives 0.0 μB per formula unit.

---

DFT total energy in eV per formula unit, matching the order above: -113.11 -117.38 -173.23 -64.54